## CdTe4W (PBE)

Data for a relaxed CdTe4W crystal.

Calculated volume = 177.0 Å³/f.u.
Raw formation energy = 1.23 eV per atom

a = 8.9120 Å, b = 8.9120 Å, c = 8.9120 Å
α = 90.00°, β = 90.00°, γ = 90.00°
Space group F-43m (No. 216)
Asymmetric unit:
Cd 0.0000 0.0000 0.0000
Te 0.1242 0.1242 0.6242
W 0.2500 0.2500 0.2500

## CoNi3Ag (PBE)

Data for a relaxed CoNi3Ag crystal.

Calculated volume = 78.2 Å³/f.u.
ΔE to the lowest computed polymorph = 0.000 eV per atom
Energy relative to the elements = 0.92 eV/atom

a = 4.2770 Å, b = 4.2770 Å, c = 4.2770 Å
α = 90.00°, β = 90.00°, γ = 90.00°
Space group Pm-3m (No. 221)
Asymmetric unit:
Co 0.0000 0.0000 0.0000
Ni 0.0000 0.0000 0.5000
Ag 0.5000 0.5000 0.5000

## Ta2NiAgCl (PBE)

Data for a relaxed Ta2NiAgCl crystal.

Calculated volume = 114.6 Å³/f.u.
Raw formation energy = 1.90 eV per atom

a = 4.9796 Å, b = 4.9796 Å, c = 4.6231 Å
α = 90.00°, β = 90.00°, γ = 90.00°
Space group P4/mmm (No. 123)
Asymmetric unit:
Ta 0.0000 0.5000 0.0000
Ni 0.0000 0.0000 0.5000
Ag 0.0000 0.0000 0.0000
Cl 0.5000 0.5000 0.5000